Computed, not measured: PuAgTeO after structural relaxation at the PBE level of DFT.

Properties
magnetization: 5.00 μB per formula unit
mass density: 9.7 g cm⁻³
crystal system: tetragonal
DOS(E_F): 11.7 states/eV per cell
E_form (uncorrected): -1550 meV per atom

Lattice parameters (Å, degrees): 4.1083 4.1083 10.0319 90.00 90.00 90.00
Last column: magnetic moment on the atom in μB.
Positions (direct):
Ag 0.0000 0.0000 0.0000  0.01
Ag 0.5000 0.5000 0.0000  0.01
Te 0.5000 0.0000 0.2086  -0.06
Te 0.0000 0.5000 0.7914  -0.06
O 0.0000 0.0000 0.5000  -0.13
O 0.5000 0.5000 0.5000  -0.13
Pu 0.5000 0.0000 0.6109  5.04
Pu 0.0000 0.5000 0.3891  5.04

Computed, not measured: Al2PtCl after structural relaxation at the PBE level of DFT.

Properties
excess energy over the best structure of this formula in the dataset: 113 meV per atom
magnetization: 0.00 μB per formula unit
mass density: 6.7 g cm⁻³
crystal system: orthorhombic
DOS(E_F): 0.9 states/eV per cell
E_form (uncorrected): -675 meV per atom

Lattice parameters (Å, degrees): 3.0981 3.1957 7.1305 89.99 90.00 90.00
Positions (direct):
Al 0.0000 0.2499 0.9515
Al 0.0000 0.2501 0.5485
Pt 0.5000 0.7500 0.7500
Cl 0.5000 0.2500 0.2500

Computed, not measured: HfZr2Zn after structural relaxation at the PBE level of DFT.

Properties
magnetization: 0.00 μB per formula unit
mass density: 8.4 g cm⁻³
energy relative to the elements: -131 meV per atom
crystal system: tetragonal
DOS(E_F): 4.4 states/eV per cell

Lattice parameters (Å, degrees): 3.1917 3.1917 8.2333 90.00 90.00 90.00
Positions (direct):
Zr 0.0000 0.0000 0.2306
Zr 0.0000 0.0000 0.7694
Hf 0.5000 0.5000 0.5000
Zn 0.5000 0.5000 0.0000

Computed, not measured: Li2Cu4Ni5 after structural relaxation at the PBE level of DFT.

Properties
magnetization: 1.19 μB per formula unit
mass density: 7.5 g cm⁻³
energy relative to the elements: -10 meV per atom
crystal system: monoclinic
DOS(E_F): 9.1 states/eV per cell

Lattice parameters (Å, degrees): 2.4951 6.2142 8.3873 103.18 98.55 90.00
Last column: magnetic moment on the atom in μB.
Positions (direct):
Cu 0.6822 0.4637 0.3644  0.00
Cu 0.3178 0.5363 0.6356  0.00
Cu 0.9555 0.6395 0.9111  -0.01
Cu 0.0445 0.3605 0.0889  -0.01
Li 0.4061 0.2618 0.8122  -0.01
Li 0.5939 0.7382 0.1878  -0.01
Ni 0.2327 0.8291 0.4654  0.28
Ni 0.8644 0.9024 0.7287  0.28
Ni 0.5000 0.0000 0.0000  0.23
Ni 0.7673 0.1709 0.5346  0.28
Ni 0.1356 0.0976 0.2713  0.28

Computed, not measured: TaNi2Ag after structural relaxation at the PBE level of DFT.

Properties
excess energy over the best structure of this formula in the dataset: 137 meV per atom
magnetization: 0.00 μB per formula unit
mass density: 11.4 g cm⁻³
energy relative to the elements: 127 meV per atom
crystal system: trigonal
DOS(E_F): 3.3 states/eV per cell

Lattice parameters (Å, degrees): 8.8073 8.8073 8.8073 18.37 18.37 18.37
Positions (direct):
Ni 0.9969 0.9969 0.9969
Ni 0.5031 0.5031 0.5031
Ta 0.2500 0.2500 0.2500
Ag 0.7500 0.7500 0.7500

Computed, not measured: FeAgSbC2 after structural relaxation at the PBE level of DFT.

Properties
magnetization: 3.21 μB per formula unit
mass density: 5.4 g cm⁻³
crystal system: tetragonal
DOS(E_F): 4.8 states/eV per cell
E_form (uncorrected): 2527 meV per atom

Lattice parameters (Å, degrees): 4.2138 5.3176 4.2138 90.00 90.00 90.00
Last column: magnetic moment on the atom in μB.
Positions (direct):
C 0.5000 0.0000 0.0000  -0.06
C 0.0000 0.0000 0.5000  -0.05
Sb 0.0000 0.0000 0.0000  0.02
Ag 0.0000 0.5000 0.0000  -0.01
Fe 0.5000 0.5000 0.5000  3.25